DFT (meta-GGA SCAN) results for a PBEsol-optimized structure of Si2PbAu.

POSCAR file:
```
Si2PbAu
1.0
3.829 0.000 0.000
-1.915 3.613 -0.099
0.000 -1.794 5.977
Au Pb Si
1 1 2
Direct
0.000 0.000 0.500 Au
0.500 0.000 0.000 Pb
0.729 0.459 0.668 Si
0.271 0.541 0.332 Si
```

Summary:
**Energy relative to the elements, uncorrected**: 0.197 eV per atom
**Spin magnetization**: 0.0 μB per cell
**Space-group type**: C2/m (12)
**Mass density**: 9.32 Mg/m³

***

DFT (meta-GGA SCAN) results for a PBEsol-optimized structure of La2SbN.

POSCAR file:
```
La2SbN
1.0
-3.236 4.484 -3.455
0.554 -5.660 -3.189
-3.106 -1.602 5.505
La N Sb
4 2 2
Direct
0.592 0.375 0.467 La
0.092 0.217 0.625 La
0.908 0.533 0.125 La
0.408 0.875 0.783 La
0.500 0.250 0.750 N
0.000 0.500 0.500 N
0.000 0.000 0.000 Sb
0.500 0.750 0.250 Sb
```

Summary:
**Energy relative to the elements, uncorrected**: -1.415 eV per atom
**Spin magnetization**: 0.0 μB per cell
**Space-group type**: I-42d (122)
**Mass density**: 6.48 Mg/m³

***

DFT (meta-GGA SCAN) results for a PBEsol-optimized structure of TcIr2Rh.

POSCAR file:
```
TcIr2Rh
1.0
-1.465 -3.524 -0.037
0.987 -0.448 3.660
-3.126 3.374 -0.735
Ir Tc Rh
2 1 1
Direct
0.250 0.750 0.500 Ir
0.750 0.250 0.500 Ir
0.500 0.500 0.000 Tc
0.000 0.000 0.000 Rh
```

Summary:
**Spin magnetization**: 0.0 μB per cell
**Space-group type**: I4/mmm (139)
**Mass density**: 17.58 Mg/m³
**Energy of formation from the pure elements**: -154 meV/atom
**ΔE to the lowest computed polymorph**: 9.2 kJ/mol of formula units

***

What did the second record say?
DFT (meta-GGA SCAN) results for a PBEsol-optimized structure of La2SbN.

POSCAR file:
```
La2SbN
1.0
-3.236 4.484 -3.455
0.554 -5.660 -3.189
-3.106 -1.602 5.505
La N Sb
4 2 2
Direct
0.592 0.375 0.467 La
0.092 0.217 0.625 La
0.908 0.533 0.125 La
0.408 0.875 0.783 La
0.500 0.250 0.750 N
0.000 0.500 0.500 N
0.000 0.000 0.000 Sb
0.500 0.750 0.250 Sb
```

Summary:
**Energy relative to the elements, uncorrected**: -1.415 eV per atom
**Spin magnetization**: 0.0 μB per cell
**Space-group type**: I-42d (122)
**Mass density**: 6.48 Mg/m³

***

What did the second record say?
DFT (meta-GGA SCAN) results for a PBEsol-optimized structure of La2SbN.

POSCAR file:
```
La2SbN
1.0
-3.236 4.484 -3.455
0.554 -5.660 -3.189
-3.106 -1.602 5.505
La N Sb
4 2 2
Direct
0.592 0.375 0.467 La
0.092 0.217 0.625 La
0.908 0.533 0.125 La
0.408 0.875 0.783 La
0.500 0.250 0.750 N
0.000 0.500 0.500 N
0.000 0.000 0.000 Sb
0.500 0.750 0.250 Sb
```

Summary:
**Energy relative to the elements, uncorrected**: -1.415 eV per atom
**Spin magnetization**: 0.0 μB per cell
**Space-group type**: I-42d (122)
**Mass density**: 6.48 Mg/m³